# FeIrBr2

A relaxed FeIrBr2 crystal (PBE, Alexandria via LeMat-Bulk).

Results
As for the space group: P4/mmm, No. 123. For the uncorrected formation energy, the calculation gives 3.948 eV per formula unit. The energy above the most stable polymorph in this dataset is 3.477 eV per formula unit.

a = 4.6472 Å, b = 4.6472 Å, c = 3.2527 Å
α = 90.00°, β = 90.00°, γ = 90.00°
Fractional coordinates of all 4 atoms:
Br  0.0000  0.0000  0.0000
Br  0.5000  0.5000  0.0000
Fe  0.5000  0.0000  0.5000
Ir  0.0000  0.5000  0.5000

---

# Li2Ge2Pd

A relaxed Li2Ge2Pd crystal (PBE, Alexandria via LeMat-Bulk).

Results
As for the space group: Immm, No. 71. The energy relative to the elements is -0.366 eV per atom.

a = 4.2309 Å, b = 5.2327 Å, c = 5.2327 Å
α = 58.70°, β = 66.15°, γ = 66.15°
Fractional coordinates of all 5 atoms:
Li  0.8105  0.6895  0.6895
Li  0.1895  0.3105  0.3105
Ge  0.5000  0.7373  0.2627
Ge  0.5000  0.2627  0.7373
Pd  0.0000  0.0000  0.0000

---

# MgTlAs

A relaxed MgTlAs crystal (PBE, Alexandria via LeMat-Bulk).

Results
As for the space group: P2_1/m, No. 11. The energy relative to the elements is -0.343 eV per atom.

a = 4.6066 Å, b = 4.7083 Å, c = 7.8430 Å
α = 66.18°, β = 89.99°, γ = 90.00°
Fractional coordinates of all 6 atoms:
As  0.5607  0.9720  0.6938
As  0.0607  0.2029  0.0928
Tl  0.5607  0.4660  0.2765
Tl  0.0608  0.7097  0.5101
Mg  0.0604  0.8339  0.9017
Mg  0.5605  0.3405  0.8849

---

# Tl2SiBiAu6

A relaxed Tl2SiBiAu6 crystal (PBE, Alexandria via LeMat-Bulk).

Results
As for the space group: Pmmn, No. 59. For the uncorrected formation energy, the calculation gives -0.263 eV per formula unit.

a = 7.1760 Å, b = 8.4618 Å, c = 8.1435 Å
α = 90.00°, β = 90.00°, γ = 90.00°
Fractional coordinates of all 20 atoms:
Tl  0.5000  0.7001  0.2627
Tl  0.0000  0.2999  0.7627
Tl  0.5000  0.7001  0.7373
Tl  0.0000  0.2999  0.2373
Si  0.5000  0.2253  0.5000
Si  0.0000  0.7747  0.0000
Bi  0.0000  0.6726  0.5000
Bi  0.5000  0.3274  0.0000
Au  0.5000  0.0786  0.2448
Au  0.5000  0.0786  0.7552
Au  0.0000  0.9214  0.2552
Au  0.0000  0.9214  0.7448
Au  0.2024  0.0789  0.5000
Au  0.7976  0.0789  0.5000
Au  0.2960  0.4602  0.5000
Au  0.7040  0.4602  0.5000
Au  0.7960  0.5399  0.0000
Au  0.2040  0.5399  0.0000
Au  0.2976  0.9211  0.0000
Au  0.7024  0.9211  0.0000

---

# Sm3YEr6Th2

A relaxed Sm3YEr6Th2 crystal (PBE, Alexandria via LeMat-Bulk).

Results
As for the space group: C2/m, No. 12. The energy relative to the elements is 0.020 eV per atom.

a = 6.1671 Å, b = 6.1671 Å, c = 11.7179 Å
α = 95.04°, β = 95.04°, γ = 119.97°
Fractional coordinates of all 12 atoms:
Sm  0.1662  0.8338  0.5000
Sm  0.8338  0.1662  0.5000
Sm  0.5000  0.5000  0.5000
Y  0.0000  0.0000  0.0000
Er  0.9177  0.5798  0.7535
Er  0.7443  0.7443  0.2469
Er  0.0823  0.4202  0.2465
Er  0.5798  0.9177  0.7535
Er  0.2557  0.2557  0.7531
Er  0.4202  0.0823  0.2465
Th  0.3334  0.6666  0.0000
Th  0.6666  0.3334  0.0000

---

# Te3PbN

A relaxed Te3PbN crystal (PBE, Alexandria via LeMat-Bulk).

Results
As for the space group: Pm-3m, No. 221. For the uncorrected formation energy, the calculation gives 9.903 eV per formula unit. The energy above the most stable polymorph in this dataset is 7.416 eV per formula unit.

a = 5.8240 Å, b = 5.8240 Å, c = 5.8240 Å
α = 90.00°, β = 90.00°, γ = 90.00°
Fractional coordinates of all 5 atoms:
Pb  0.0000  0.0000  0.0000
Te  0.0000  0.5000  0.0000
Te  0.0000  0.0000  0.5000
Te  0.5000  0.0000  0.0000
N  0.5000  0.5000  0.5000

---

# FeRu2Cl

A relaxed FeRu2Cl crystal (PBE, Alexandria via LeMat-Bulk).

Results
As for the space group: Cm, No. 8. For the uncorrected formation energy, the calculation gives 2.055 eV per formula unit. The energy above the most stable polymorph in this dataset is 0.840 eV per formula unit.

a = 4.2597 Å, b = 4.2597 Å, c = 6.6046 Å
α = 88.65°, β = 88.65°, γ = 38.73°
Fractional coordinates of all 4 atoms:
Ru  0.0565  0.0565  0.9809
Ru  0.7904  0.7904  0.8270
Fe  0.3307  0.3307  0.1754
Cl  0.3224  0.3224  0.5168

---

# Tm2Cd2C

A relaxed Tm2Cd2C crystal (PBE, Alexandria via LeMat-Bulk).

Results
As for the space group: R-3m, No. 166. The energy relative to the elements is -0.291 eV per atom.

a = 3.5136 Å, b = 3.5136 Å, c = 10.4737 Å
α = 80.34°, β = 80.34°, γ = 60.00°
Fractional coordinates of all 5 atoms:
Tm  0.3763  0.3763  0.8712
Tm  0.6237  0.6237  0.1288
Cd  0.8714  0.8714  0.3857
Cd  0.1286  0.1286  0.6143
C  0.0000  0.0000  0.0000

---

# SrMgSi2

A relaxed SrMgSi2 crystal (PBE, Alexandria via LeMat-Bulk).

Results
As for the space group: Imm2, No. 44. For the uncorrected formation energy, the calculation gives -0.676 eV per formula unit.

a = 6.6308 Å, b = 6.6308 Å, c = 6.6308 Å
α = 147.39°, β = 141.40°, γ = 51.40°
Fractional coordinates of all 4 atoms:
Mg  0.2751  0.7751  0.5000
Si  0.9119  0.9119  0.0000
Si  0.7781  0.2781  0.5000
Sr  0.5349  0.5349  0.0000

---

# BaNaInO3

A relaxed BaNaInO3 crystal (PBE, Alexandria via LeMat-Bulk).

Results
As for the space group: Cmcm, No. 63. For the uncorrected formation energy, the calculation gives -10.759 eV per formula unit.

a = 5.9568 Å, b = 5.9590 Å, c = 6.4507 Å
α = 117.51°, β = 90.00°, γ = 90.00°
Fractional coordinates of all 12 atoms:
Ba  0.7500  0.2880  0.5760
Ba  0.2500  0.7120  0.4240
Na  0.2500  0.4263  0.8526
Na  0.7500  0.5737  0.1474
In  0.2500  0.0478  0.0955
In  0.7500  0.9522  0.9045
O  0.2500  0.2324  0.4649
O  0.0000  0.2449  0.0000
O  0.5000  0.7551  0.0000
O  0.5000  0.2449  0.0000
O  0.0000  0.7551  0.0000
O  0.7500  0.7676  0.5351

---

# TiCuI3

A relaxed TiCuI3 crystal (PBE, Alexandria via LeMat-Bulk).

Results
As for the space group: Pm-3m, No. 221. For the uncorrected formation energy, the calculation gives 0.861 eV per formula unit.

a = 5.5231 Å, b = 5.5231 Å, c = 5.5231 Å
α = 90.00°, β = 90.00°, γ = 90.00°
Fractional coordinates of all 5 atoms:
I  0.0000  0.5000  0.0000
I  0.0000  0.0000  0.5000
I  0.5000  0.0000  0.0000
Cu  0.5000  0.5000  0.5000
Ti  0.0000  0.0000  0.0000

---

# NaAuF4

A relaxed NaAuF4 crystal (PBE, Alexandria via LeMat-Bulk).

Results
As for the space group: C2/m, No. 12. For the uncorrected formation energy, the calculation gives -10.051 eV per formula unit.

a = 6.1892 Å, b = 6.1892 Å, c = 6.7409 Å
α = 86.88°, β = 86.88°, γ = 48.48°
Fractional coordinates of all 12 atoms:
Na  0.0000  0.5000  0.5000
Na  0.5000  0.0000  0.0000
Au  0.2500  0.7500  0.7500
Au  0.7500  0.2500  0.2500
F  0.5776  0.0775  0.3241
F  0.2027  0.7027  0.4729
F  0.7973  0.2973  0.5271
F  0.0775  0.5776  0.8241
F  0.9225  0.4224  0.1759
F  0.2973  0.7973  0.0271
F  0.7027  0.2027  0.9729
F  0.4224  0.9225  0.6759

---

# Sc3PaTl4Te8

A relaxed Sc3PaTl4Te8 crystal (PBE, Alexandria via LeMat-Bulk).

Results
As for the space group: R-3m, No. 166. For the uncorrected formation energy, the calculation gives -13.322 eV per formula unit.

a = 8.5636 Å, b = 9.6238 Å, c = 8.5633 Å
α = 116.43°, β = 120.00°, γ = 90.00°
Fractional coordinates of all 16 atoms:
Sc  0.5000  0.5000  0.0000
Sc  0.5000  0.5000  0.5000
Sc  0.0000  0.5000  0.5000
Pa  0.0000  0.5000  0.0000
Tl  0.5000  0.0000  0.0000
Tl  0.5000  0.0000  0.5000
Tl  0.0000  0.0000  0.0000
Tl  0.0000  0.0000  0.5000
Te  0.2417  0.7093  0.9682
Te  0.2415  0.7090  0.4831
Te  0.2664  0.2996  0.5329
Te  0.7265  0.7093  0.9682
Te  0.2735  0.2907  0.0318
Te  0.7336  0.7004  0.4671
Te  0.7585  0.2910  0.5169
Te  0.7583  0.2907  0.0318